The following is a DFT calculation (SCAN) of a PBEsol-optimized structure of PWCl2.

Results
DFT total energy: -24.019 eV/atom
total magnetization: 0.0 Bohr magnetons per cell
energy above the most stable polymorph in this dataset: 164 meV/atom
SG: Immm (71)

Cell and atoms, written as POSCAR:
```
PWCl2
1.0
-1.474 2.021 6.949
1.474 -2.021 6.949
1.474 2.021 -6.949
P W Cl
1 1 2
direct
0.000 0.000 0.000 P
0.500 0.500 0.000 W
0.352 0.852 0.500 Cl
0.648 0.148 0.500 Cl
```